Arrangement i

CaAs3Pd | PBE | relaxed

Total moment, Bohr magnetons per cell: 0.000

Cell: 5.261 5.261 5.261 Å, 90.00 90.00 90.00°
Space group Pm-3m (No. 221)
One atom of each set of equivalent atoms:
Ca: 0.000 0.000 0.000 [1 per cell]
As: 0.000 0.000 0.500 [3 per cell]
Pd: 0.500 0.500 0.500 [1 per cell]

Arrangement ii

CaAs3Pd | PBE | relaxed

Total moment, Bohr magnetons per cell: 0.000

Cell: 4.957 4.957 4.957 Å, 90.00 90.00 90.00°
Space group Pm-3m (No. 221)
One atom of each set of equivalent atoms:
Ca: 0.000 0.000 0.000 [1 per cell]
As: 0.000 0.500 0.500 [3 per cell]
Pd: 0.500 0.500 0.500 [1 per cell]

Arrangement iii

CaAs3Pd | PBE | relaxed

Total moment, Bohr magnetons per cell: 0.000

Cell: 5.551 5.775 6.771 Å, 90.00 94.88 90.00°
Space group P2_1 (No. 4)
One atom of each set of equivalent atoms:
Ca: 0.151 0.000 0.353 [2 per cell]
As: 0.066 0.037 0.814 [2 per cell]
As: 0.275 0.404 0.983 [2 per cell]
As: 0.312 0.489 0.447 [2 per cell]
Pd: 0.391 0.739 0.761 [2 per cell]

Result of the stability comparison: arrangement i is the least stable of them.

Arrangement i

Ca3As4Pd2 | PBE | relaxed

Total moment, Bohr magnetons per cell: 0.000

Cell: 11.032 4.424 8.313 Å, 90.00 101.24 90.00°
Space group C2/m (No. 12)
One atom of each set of equivalent atoms:
Ca: 0.000 0.000 0.000 [2 per cell]
Ca: 0.163 0.500 0.665 [4 per cell]
As: 0.059 0.000 0.385 [4 per cell]
As: 0.223 0.500 0.062 [4 per cell]
Pd: 0.108 0.500 0.283 [4 per cell]

Arrangement ii

Ca3As4Pd2 | PBE | relaxed

Total moment, Bohr magnetons per cell: 0.000

Cell: 10.867 4.424 8.243 Å, 90.00 105.58 90.00°
Space group C2/m (No. 12)
One atom of each set of equivalent atoms:
Ca: 0.000 0.000 0.000 [2 per cell]
Ca: 0.122 0.500 0.697 [4 per cell]
As: 0.078 0.000 0.401 [4 per cell]
As: 0.211 0.500 0.064 [4 per cell]
Pd: 0.195 0.500 0.370 [4 per cell]

Result of the stability comparison: arrangement ii is the least stable of them.

Arrangement i

CaAsPd3 | PBE | relaxed

Total moment, Bohr magnetons per cell: 0.000

Cell: 4.873 4.873 4.873 Å, 90.00 90.00 90.00°
Space group Pm-3m (No. 221)
One atom of each set of equivalent atoms:
Ca: 0.000 0.000 0.000 [1 per cell]
As: 0.500 0.500 0.500 [1 per cell]
Pd: 0.000 0.000 0.500 [3 per cell]

Arrangement ii

CaAsPd3 | PBE | relaxed

Total moment, Bohr magnetons per cell: 0.000

Cell: 4.733 4.733 4.733 Å, 90.00 90.00 90.00°
Space group Pm-3m (No. 221)
One atom of each set of equivalent atoms:
Ca: 0.000 0.000 0.000 [1 per cell]
As: 0.500 0.500 0.500 [1 per cell]
Pd: 0.000 0.500 0.500 [3 per cell]

Arrangement iii

CaAsPd3 | PBE | relaxed

Total moment, Bohr magnetons per cell: 0.000

Cell: 5.280 5.280 16.253 Å, 90.00 90.00 90.00°
Space group I-4m2 (No. 119)
One atom of each set of equivalent atoms:
Ca: 0.000 0.000 0.138 [4 per cell]
As: 0.000 0.000 0.500 [2 per cell]
As: 0.000 0.500 0.750 [2 per cell]
Pd: 0.000 0.248 0.626 [8 per cell]
Pd: 0.000 0.500 0.028 [4 per cell]

Result of the stability comparison: arrangement i is the least stable of them.

Arrangement i

CaPmAs | PBE | relaxed

Total moment, Bohr magnetons per cell: 0.000

Cell: 7.002 7.002 7.002 Å, 90.00 90.00 90.00°
Space group F-43m (No. 216)
One atom of each set of equivalent atoms:
Ca: 0.000 0.000 0.000 [4 per cell]
Pm: 0.000 0.000 0.500 [4 per cell]
As: 0.250 0.250 0.750 [4 per cell]

Arrangement ii

CaPmAs | PBE | relaxed

Total moment, Bohr magnetons per cell: 0.946

Cell: 4.115 13.337 6.241 Å, 90.00 90.00 90.00°
Space group Cmcm (No. 63)
One atom of each set of equivalent atoms:
Ca: 0.000 0.213 0.250 [4 per cell]
Pm: 0.000 0.500 0.000 [4 per cell]
As: 0.000 0.128 0.750 [4 per cell]

Arrangement iii

CaPmAs | PBE | relaxed

Total moment, Bohr magnetons per cell: 0.251

Cell: 4.1731 4.1731 6.7784 Å, 90.00 90.00 120.00°
Space group P3m1 (No. 156)
One atom of each set of equivalent atoms:
Ca: 0.0000 0.0000 0.0000 [1 per cell]
Pm: 0.6667 0.3333 0.4913 [1 per cell]
As: 0.3333 0.6667 0.2582 [1 per cell]

Result of the stability comparison: arrangement i is the least stable of them.

Arrangement i

CaAs3Pt | PBE | relaxed

Total moment, Bohr magnetons per cell: 0.000

Cell: 5.209 5.209 5.209 Å, 90.00 90.00 90.00°
Space group Pm-3m (No. 221)
One atom of each set of equivalent atoms:
Ca: 0.000 0.000 0.000 [1 per cell]
As: 0.000 0.000 0.500 [3 per cell]
Pt: 0.500 0.500 0.500 [1 per cell]

Arrangement ii

CaAs3Pt | PBE | relaxed

Total moment, Bohr magnetons per cell: 0.000

Cell: 4.999 4.999 4.999 Å, 90.00 90.00 90.00°
Space group Pm-3m (No. 221)
One atom of each set of equivalent atoms:
Ca: 0.000 0.000 0.000 [1 per cell]
As: 0.000 0.500 0.500 [3 per cell]
Pt: 0.500 0.500 0.500 [1 per cell]

Result of the stability comparison: arrangement i is the least stable of them.

Arrangement i

Ca2AsPt2 | PBE | relaxed

Total moment, Bohr magnetons per cell: 0.000

Cell: 8.454 8.454 3.072 Å, 90.00 90.00 90.00°
Space group P4/mbm (No. 127)
One atom of each set of equivalent atoms:
Ca: 0.173 0.327 0.000 [4 per cell]
As: 0.000 0.000 0.000 [2 per cell]
Pt: 0.121 0.621 0.500 [4 per cell]

Arrangement ii

Ca2AsPt2 | PBE | relaxed

Total moment, Bohr magnetons per cell: 0.000

Cell: 3.727 3.727 16.634 Å, 90.00 90.00 90.00°
Space group I4/mmm (No. 139)
One atom of each set of equivalent atoms:
Ca: 0.000 0.000 0.107 [4 per cell]
As: 0.000 0.000 0.500 [2 per cell]
Pt: 0.000 0.500 0.250 [4 per cell]

Arrangement iii

Ca2AsPt2 | PBE | relaxed

Total moment, Bohr magnetons per cell: 0.000

Cell: 4.412 5.553 8.701 Å, 90.00 90.00 90.00°
Space group Immm (No. 71)
One atom of each set of equivalent atoms:
Ca: 0.000 0.000 0.194 [4 per cell]
As: 0.000 0.500 0.000 [2 per cell]
Pt: 0.000 0.257 0.500 [4 per cell]

Result of the stability comparison: arrangement i is the least stable of them.

Arrangement i

CaAs2PtSe | PBE | relaxed

Total moment, Bohr magnetons per cell: 0.000

Cell: 4.842 4.842 5.435 Å, 90.00 90.00 90.00°
Space group P4/mmm (No. 123)
One atom of each set of equivalent atoms:
Ca: 0.000 0.000 0.000 [1 per cell]
As: 0.000 0.500 0.500 [2 per cell]
Pt: 0.500 0.500 0.500 [1 per cell]
Se: 0.500 0.500 0.000 [1 per cell]

Arrangement ii

CaAs2PtSe | PBE | relaxed

Total moment, Bohr magnetons per cell: 0.000

Cell: 5.284 5.284 5.165 Å, 90.00 90.00 90.00°
Space group P4/mmm (No. 123)
One atom of each set of equivalent atoms:
Ca: 0.000 0.000 0.000 [1 per cell]
As: 0.000 0.500 0.000 [2 per cell]
Pt: 0.500 0.500 0.500 [1 per cell]
Se: 0.000 0.000 0.500 [1 per cell]

Result of the stability comparison: arrangement ii is the least stable of them.

Arrangement i

CaAsPtSe2 | PBE | relaxed

Total moment, Bohr magnetons per cell: 0.000

Cell: 5.247 5.247 5.346 Å, 90.00 90.00 90.00°
Space group P4/mmm (No. 123)
One atom of each set of equivalent atoms:
Ca: 0.000 0.000 0.000 [1 per cell]
As: 0.000 0.000 0.500 [1 per cell]
Pt: 0.500 0.500 0.500 [1 per cell]
Se: 0.000 0.500 0.000 [2 per cell]

Arrangement ii

CaAsPtSe2 | PBE | relaxed

Total moment, Bohr magnetons per cell: 0.000

Cell: 5.324 5.324 4.586 Å, 90.00 90.00 90.00°
Space group P4/mmm (No. 123)
One atom of each set of equivalent atoms:
Ca: 0.000 0.000 0.000 [1 per cell]
As: 0.500 0.500 0.000 [1 per cell]
Pt: 0.500 0.500 0.500 [1 per cell]
Se: 0.000 0.500 0.500 [2 per cell]

Result of the stability comparison: arrangement i is the least stable of them.